Below is a relaxed structure of ScCrAsPd2, with properties calculated at the PBE-GGA level.

Cell lengths 4.6897, 4.6897, 4.9499 Å; angles 90.00, 90.00, 90.00 degrees
Atoms (fractional coordinates):
Sc  0.0000  0.0000  0.0000
Cr  0.5000  0.5000  0.5000
As  0.0000  0.0000  0.5000
Pd  0.0000  0.5000  0.0000
Pd  0.5000  0.0000  0.0000

Summary:
- formation energy (meV per atom) = 997


Below is a relaxed structure of SnGe2SbS, with properties calculated at the PBE-GGA level.

Cell lengths 4.9992, 4.9992, 5.3552 Å; angles 90.00, 90.00, 90.00 degrees
Atoms (fractional coordinates):
Sn  0.0000  0.0000  0.0000
Ge  0.0000  0.5000  0.5000
Ge  0.5000  0.0000  0.5000
Sb  0.5000  0.5000  0.0000
S  0.0000  0.0000  0.5000

Summary:
- uncorrected formation energy (eV/f.u.) = 1.90


Below is a relaxed structure of Pr6Ho8Mg, with properties calculated at the PBE-GGA level.

Cell lengths 9.5469, 9.5469, 6.3260 Å; angles 90.00, 90.00, 120.00 degrees
Atoms (fractional coordinates):
Pr  0.0883  0.6386  0.1890
Pr  0.3614  0.4497  0.1890
Pr  0.4497  0.0883  0.8110
Pr  0.5503  0.9117  0.1890
Pr  0.6386  0.5503  0.8110
Pr  0.9117  0.3614  0.8110
Ho  0.0392  0.7755  0.6889
Ho  0.2245  0.2637  0.6889
Ho  0.2637  0.0392  0.3111
Ho  0.3333  0.6667  0.6729
Ho  0.6667  0.3333  0.3271
Ho  0.7363  0.9608  0.6889
Ho  0.7755  0.7363  0.3111
Ho  0.9608  0.2245  0.3111
Mg  0.0000  0.0000  0.0000

Summary:
- formation energy (meV per atom) = 124


Below is a relaxed structure of LiPu7Ir4, with properties calculated at the PBE-GGA level.

Cell lengths 6.9741, 6.9741, 9.6309 Å; angles 121.31, 121.31, 44.11 degrees
Atoms (fractional coordinates):
Li  0.0000  0.0000  0.0000
Pu  0.0634  0.0634  0.3756
Pu  0.1975  0.1975  0.8931
Pu  0.3115  0.3115  0.3744
Pu  0.5000  0.5000  0.0000
Pu  0.6885  0.6885  0.6256
Pu  0.8025  0.8025  0.1069
Pu  0.9366  0.9366  0.6244
Ir  0.2984  0.2984  0.6719
Ir  0.4414  0.4414  0.2303
Ir  0.5586  0.5586  0.7697
Ir  0.7016  0.7016  0.3281

Summary:
- formation energy (meV per atom) = -135


no.,DOS(E_F) (states/eV per atom),spin magnetization (μB per atom)
1,1.52,0.004
2,0.51,0.000
3,1.16,0.000
4,4.39,0.415